#i
{
  "formula": "LiCo2B2",
  "functional": "PBE",
  "state": "optimized geometry",
  "lattice_angstrom": [[-1.7044, 1.7044, 4.0031], [1.7044, -1.7044, 4.0031], [1.7044, 1.7044, -4.0031]],
  "species": ["Li", "Co", "Co", "B", "B"],
  "frac_coords": [[0.0000, 0.0000, 0.0000], [0.2500, 0.7500, 0.5000], [0.7500, 0.2500, 0.5000], [0.3867, 0.3867, 0.0000], [0.6133, 0.6133, 0.0000]],
  "density_g_cm3": 5.23,
  "space_group": "I4/mmm",
  "m_tot_mub_per_fu": 0.4
}

---

#ii
{
  "formula": "LiCo2B2",
  "functional": "PBE",
  "state": "optimized geometry",
  "lattice_angstrom": [[5.7148, 0.0000, 0.0000], [0.0000, 5.7148, 0.0000], [0.0000, 0.0000, 2.5036]],
  "species": ["Li", "Li", "Co", "Co", "Co", "Co", "B", "B", "B", "B"],
  "frac_coords": [[0.0000, 0.0000, 0.0000], [0.5000, 0.5000, 0.0000], [0.1693, 0.3307, 0.5000], [0.3307, 0.8307, 0.5000], [0.6693, 0.1693, 0.5000], [0.8307, 0.6693, 0.5000], [0.1197, 0.6197, 0.0000], [0.3803, 0.1197, 0.0000], [0.6197, 0.8803, 0.0000], [0.8803, 0.3803, 0.0000]],
  "density_g_cm3": 5.95,
  "space_group": "P4/mbm",
  "m_tot_mub_per_fu": 0.0
}

---

Going by the computed energies, the most stable comes first: #ii, #i.

---

#i
{
  "formula": "LiCo3B",
  "functional": "PBE",
  "state": "optimized geometry",
  "lattice_angstrom": [[3.8052, 0.0000, 0.0000], [0.0000, 3.8052, 0.0000], [0.0000, 0.0000, 3.8052]],
  "species": ["Li", "Co", "Co", "Co", "B"],
  "frac_coords": [[0.0000, 0.0000, 0.0000], [0.0000, 0.5000, 0.5000], [0.5000, 0.0000, 0.5000], [0.5000, 0.5000, 0.0000], [0.5000, 0.5000, 0.5000]],
  "density_g_cm3": 5.86,
  "space_group": "Pm-3m",
  "m_tot_mub_per_fu": 3.0
}

---

#ii
{
  "formula": "LiCo3B",
  "functional": "PBE",
  "state": "optimized geometry",
  "lattice_angstrom": [[3.7462, 0.0000, 0.0000], [0.0000, 3.7462, 0.0000], [0.0000, 0.0000, 3.7462]],
  "species": ["Li", "Co", "Co", "Co", "B"],
  "frac_coords": [[0.0000, 0.0000, 0.0000], [0.0000, 0.0000, 0.5000], [0.0000, 0.5000, 0.0000], [0.5000, 0.0000, 0.0000], [0.5000, 0.5000, 0.5000]],
  "density_g_cm3": 6.14,
  "space_group": "Pm-3m",
  "m_tot_mub_per_fu": 3.2
}

---

Going by the computed energies, the most stable comes first: #i, #ii.